Record 1
Crystalline Ti3Cu5O12 at its relaxed geometry. Source: Alexandria, functional PBE.

Cell and atoms, written as CIF:
```
data_Ti3Cu5O12
_chemical_formula_sum 'Ti24 Cu40 O96'
_cell_length_a 11.726
_cell_length_b 11.726
_cell_length_c 11.726
_cell_angle_alpha 90.00
_cell_angle_beta 90.00
_cell_angle_gamma 90.00
_symmetry_space_group_name_H-M 'I a -3 d'
_symmetry_Int_Tables_number 230
_symmetry_space_group_name_Hall '-I 4bd 2c 3'
loop_
_atom_site_label
_atom_site_type_symbol
_atom_site_fract_x
_atom_site_fract_y
_atom_site_fract_z
Ti1 Ti 0.000 0.250 0.125
Cu1 Cu 0.000 0.000 0.000
Cu2 Cu 0.000 0.250 0.375
O1 O 0.017 0.067 0.654
```

Calculated values
- Total magnetization: 0.0 μB per formula unit
- Formation energy without anion corrections: -1.341 eV per atom

---

Record 2
Crystalline Na2InHIr at its relaxed geometry. Source: Alexandria, functional PBE.

Cell and atoms, written as CIF:
```
data_Na2InHIr
_chemical_formula_sum 'Na2 In1 H1 Ir1'
_cell_length_a 4.646
_cell_length_b 4.646
_cell_length_c 3.799
_cell_angle_alpha 90.00
_cell_angle_beta 90.00
_cell_angle_gamma 90.00
_symmetry_space_group_name_H-M 'P 4/m m m'
_symmetry_Int_Tables_number 123
_symmetry_space_group_name_Hall '-P 4 2'
loop_
_atom_site_label
_atom_site_type_symbol
_atom_site_fract_x
_atom_site_fract_y
_atom_site_fract_z
Na1 Na 0.000 0.500 0.000
In1 In 0.000 0.000 0.500
H1 H 0.500 0.500 0.000
Ir1 Ir 0.500 0.500 0.500
```

Calculated values
- Total magnetization: 0.0 μB per formula unit

---

Record 3
Crystalline Mn2Fe2Cu at its relaxed geometry. Source: Alexandria, functional PBE.

Cell and atoms, written as CIF:
```
data_Mn2Fe2Cu
_chemical_formula_sum 'Mn4 Fe4 Cu2'
_cell_length_a 6.739
_cell_length_b 6.739
_cell_length_c 2.477
_cell_angle_alpha 90.00
_cell_angle_beta 90.00
_cell_angle_gamma 90.00
_symmetry_space_group_name_H-M 'P 4/m b m'
_symmetry_Int_Tables_number 127
_symmetry_space_group_name_Hall '-P 4 2ab'
loop_
_atom_site_label
_atom_site_type_symbol
_atom_site_fract_x
_atom_site_fract_y
_atom_site_fract_z
Mn1 Mn 0.167 0.333 0.000
Fe1 Fe 0.126 0.626 0.500
Cu1 Cu 0.000 0.000 0.500
```

Calculated values
- Energy above the most stable polymorph in this dataset: 0.000 eV/atom
- Total magnetization: 0.0 μB per formula unit
- Calculated formation energy: 0.25 eV per atom

---

Record 4
Crystalline Eu2LuMg at its relaxed geometry. Source: Alexandria, functional PBE.

Cell and atoms, written as CIF:
```
data_Eu2LuMg
_chemical_formula_sum 'Eu2 Lu1 Mg1'
_cell_length_a 3.693
_cell_length_b 3.693
_cell_length_c 9.819
_cell_angle_alpha 90.00
_cell_angle_beta 90.00
_cell_angle_gamma 90.00
_symmetry_space_group_name_H-M 'P 4/m m m'
_symmetry_Int_Tables_number 123
_symmetry_space_group_name_Hall '-P 4 2'
loop_
_atom_site_label
_atom_site_type_symbol
_atom_site_fract_x
_atom_site_fract_y
_atom_site_fract_z
Eu1 Eu 0.000 0.000 0.237
Lu1 Lu 0.500 0.500 0.500
Mg1 Mg 0.500 0.500 0.000
```

Calculated values
- Energy above the most stable polymorph in this dataset: 0.000 eV/atom
- Total magnetization: 15.4 μB per formula unit
- Calculated formation energy: 0.05 eV per atom

---

Record 5
Crystalline Pm2TeP at its relaxed geometry. Source: Alexandria, functional PBE.

Cell and atoms, written as CIF:
```
data_Pm2TeP
_chemical_formula_sum 'Pm8 Te4 P4'
_cell_length_a 7.443
_cell_length_b 7.443
_cell_length_c 7.443
_cell_angle_alpha 90.00
_cell_angle_beta 90.00
_cell_angle_gamma 90.00
_symmetry_space_group_name_H-M 'F m -3 m'
_symmetry_Int_Tables_number 225
_symmetry_space_group_name_Hall '-F 4 2 3'
loop_
_atom_site_label
_atom_site_type_symbol
_atom_site_fract_x
_atom_site_fract_y
_atom_site_fract_z
Pm1 Pm 0.250 0.250 0.250
Te1 Te 0.000 0.000 0.000
P1 P 0.000 0.000 0.500
```

Calculated values
- Energy above the most stable polymorph in this dataset: 0.479 eV/atom
- Total magnetization: 0.3 μB per formula unit
- Formation energy without anion corrections: -1.110 eV per atom

---

Record 6
Crystalline Ho3PdPb2 at its relaxed geometry. Source: Alexandria, functional PBE.

Cell and atoms, written as CIF:
```
data_Ho3PdPb2
_chemical_formula_sum 'Ho12 Pd4 Pb8'
_cell_length_a 12.262
_cell_length_b 4.556
_cell_length_c 11.591
_cell_angle_alpha 90.00
_cell_angle_beta 90.00
_cell_angle_gamma 90.00
_symmetry_space_group_name_H-M 'P n m a'
_symmetry_Int_Tables_number 62
_symmetry_space_group_name_Hall '-P 2ac 2n'
loop_
_atom_site_label
_atom_site_type_symbol
_atom_site_fract_x
_atom_site_fract_y
_atom_site_fract_z
Ho1 Ho 0.054 0.250 0.132
Ho2 Ho 0.126 0.750 0.555
Ho3 Ho 0.238 0.250 0.797
Pd1 Pd 0.123 0.250 0.374
Pb1 Pb 0.005 0.250 0.691
Pb2 Pb 0.182 0.750 0.004
```

Calculated values
- Total magnetization: 0.0 μB per formula unit
- Calculated formation energy: -0.61 eV per atom

---

Record 7
Crystalline Pr12SmEr3 at its relaxed geometry. Source: Alexandria, functional PBE.

Cell and atoms, written as CIF:
```
data_Pr12SmEr3
_chemical_formula_sum 'Pr12 Sm1 Er3'
_cell_length_a 5.191
_cell_length_b 5.191
_cell_length_c 20.708
_cell_angle_alpha 90.00
_cell_angle_beta 90.00
_cell_angle_gamma 90.00
_symmetry_space_group_name_H-M 'P 4/m m m'
_symmetry_Int_Tables_number 123
_symmetry_space_group_name_Hall '-P 4 2'
loop_
_atom_site_label
_atom_site_type_symbol
_atom_site_fract_x
_atom_site_fract_y
_atom_site_fract_z
Pr1 Pr 0.000 0.000 0.000
Pr2 Pr 0.000 0.000 0.249
Pr3 Pr 0.000 0.000 0.500
Pr4 Pr 0.000 0.500 0.125
Pr5 Pr 0.000 0.500 0.373
Sm1 Sm 0.500 0.500 0.500
Er1 Er 0.500 0.500 0.000
Er2 Er 0.500 0.500 0.249
```

Calculated values
- Total magnetization: 0.0 μB per formula unit
- Calculated formation energy: 0.01 eV per atom

---

Record 8
Crystalline Mg5IrRh4 at its relaxed geometry. Source: Alexandria, functional PBE.

Cell and atoms, written as CIF:
```
data_Mg5IrRh4
_chemical_formula_sum 'Mg5 Ir1 Rh4'
_cell_length_a 3.127
_cell_length_b 3.127
_cell_length_c 15.531
_cell_angle_alpha 90.00
_cell_angle_beta 90.00
_cell_angle_gamma 90.00
_symmetry_space_group_name_H-M 'P 4/m m m'
_symmetry_Int_Tables_number 123
_symmetry_space_group_name_Hall '-P 4 2'
loop_
_atom_site_label
_atom_site_type_symbol
_atom_site_fract_x
_atom_site_fract_y
_atom_site_fract_z
Mg1 Mg 0.000 0.000 0.000
Mg2 Mg 0.000 0.000 0.200
Mg3 Mg 0.000 0.000 0.400
Ir1 Ir 0.500 0.500 0.500
Rh1 Rh 0.500 0.500 0.100
Rh2 Rh 0.500 0.500 0.300
```

Calculated values
- Total magnetization: 0.0 μB per formula unit
- Calculated formation energy: -0.42 eV per atom

---

For the records above, the corresponding ρ values read 5.38, 7.17, 8.42, 6.24, 7.23, 10.42, 6.97, 7.93 g cm⁻³.
For the records above, the corresponding energy values read -6.5243, -3.3594, -7.6232, -6.6130, -5.6234, -4.9971, -4.7226, -5.0485 eV/atom.